Ac7Sm2 GGA-PBE optimized geometry; symmetry = P-31m (162); magnetization = 0.0 μB/f.u.; DFT total energy = -0.309 Ry per atom
1.0
6.794 0.000 0.000
-3.397 5.884 0.000
0.000 0.000 9.559
Ac Sm
7 2
Direct
0.000 0.000 0.000
0.000 0.337 0.672
0.000 0.663 0.328
0.337 0.000 0.672
0.337 0.337 0.328
0.663 0.000 0.328
0.663 0.663 0.672
0.333 0.667 0.000
0.667 0.333 0.000

Ac3Sm2 GGA-PBE optimized geometry; symmetry = R-3m (166); magnetization = 0.0 μB/f.u.; DFT total energy = -0.316 Ry per atom
1.0
1.934 1.116 15.611
-1.934 1.116 15.611
0.000 -2.233 15.611
Ac Sm
3 2
Direct
0.000 0.000 0.000
0.404 0.404 0.404
0.596 0.596 0.596
0.197 0.197 0.197
0.803 0.803 0.803

Ac5Sm2 GGA-PBE optimized geometry; symmetry = C2/m (12); magnetization = 0.0 μB/f.u.; DFT total energy = -0.306 Ry per atom
1.0
6.343 -1.915 0.000
6.343 1.915 0.000
-3.115 0.000 12.196
Ac Sm
5 2
Direct
0.000 0.000 0.000
0.235 0.235 0.860
0.463 0.463 0.705
0.537 0.537 0.295
0.765 0.765 0.140
0.148 0.148 0.555
0.852 0.852 0.445

Ac8SmSn5 GGA-PBE optimized geometry; symmetry = I-4 (82); magnetization = 1.3 μB/f.u.; DFT total energy = -0.336 Ry per atom
1.0
-5.119 5.119 5.103
5.119 -5.119 5.103
5.119 5.119 -5.103
Ac Sm Sn
8 1 5
Direct
0.111 0.374 0.109
0.114 0.375 0.593
0.264 0.002 0.891
0.479 0.886 0.261
0.625 0.218 0.739
0.626 0.736 0.737
0.782 0.521 0.407
0.998 0.889 0.263
0.500 0.500 0.000
0.250 0.750 0.500
0.380 0.262 0.378
0.738 0.116 0.118
0.884 0.002 0.622
0.998 0.620 0.882